A plane-wave DFT calculation with PBE was carried out for a relaxed structure of BeHgAsO.

Its energy above the lowest structure with this stoichiometry is 945 meV per atom. The total energy comes out at -3.21 eV/atom.

Cell lengths 3.9574, 3.9574, 8.4879 Å; angles 90.00, 90.00, 90.00 degrees
Fractional positions:
Hg1 0.5000 0.0000 0.1283
Hg2 0.0000 0.5000 0.8717
Be1 0.0000 0.0000 0.5000
Be2 0.5000 0.5000 0.5000
As1 0.0000 0.5000 0.3511
As2 0.5000 0.0000 0.6489
O1 0.5000 0.5000 0.0000
O2 0.0000 0.0000 0.0000